[1]
DFT (GGA-PBEsol) results for CoHgW2 after structural relaxation.

Lattice parameters (Å, degrees): 9.325 9.325 9.325 17.12 17.12 17.12
Atoms (fractional coordinates):
Co  0.000  0.000  0.000
Hg  0.500  0.500  0.500
W  0.259  0.259  0.259
W  0.741  0.741  0.741

Calculated values
- SG: R-3m, No. 166
- M_tot: 0.55 μB per cell
- Uncorrected energy: -8.449 eV per atom

=====

[2]
DFT (GGA-PBEsol) results for CoHgW after structural relaxation.

Lattice parameters (Å, degrees): 4.332 4.332 2.756 90.00 90.00 120.00
Atoms (fractional coordinates):
Co  0.000  0.000  0.000
Hg  0.333  0.667  0.253
W  0.667  0.333  0.748

Calculated values
- SG: P3m1, No. 156
- M_tot: 0.00 μB per cell
- Uncorrected energy: -6.755 eV per atom